Record 1
! ErTm3Pd3 | the Alexandria database | PBE-GGA | optimized geometry; values from VASP
! - Calculated volume: 23.390 Å³ per atom
! - SG: No. 160
! - E_form: -0.758 eV per atom
&SYSTEM
  ibrav = 0, nat = 7, ntyp = 3
/
ATOMIC_SPECIES
Er 167.26 Er.upf
Tm 168.93 Tm.upf
Pd 106.42 Pd.upf
CELL_PARAMETERS angstrom
4.891 2.824 1.976
-4.891 2.824 1.976
0.000 -5.648 1.976
ATOMIC_POSITIONS crystal
Er 0.000 0.000 0.000
Tm 0.499 0.499 0.999
Tm 0.499 0.999 0.499
Tm 0.999 0.499 0.499
Pd 0.499 0.999 0.999
Pd 0.999 0.499 0.999
Pd 0.999 0.999 0.499

=====

Record 2
! ZnReHgH2 | the Alexandria database | PBE-GGA | optimized geometry; values from VASP
! - Calculated volume: 15.798 Å³ per atom
! - Uncorrected energy: -2.97 eV/atom
! - SG: No. 123
&SYSTEM
  ibrav = 0, nat = 5, ntyp = 4
/
ATOMIC_SPECIES
Zn 65.41 Zn.upf
Re 186.21 Re.upf
Hg 200.59 Hg.upf
H 1.01 H.upf
CELL_PARAMETERS angstrom
3.616 0.000 0.000
0.000 3.616 0.000
0.000 0.000 6.040
ATOMIC_POSITIONS crystal
Zn 0.000 0.000 0.000
Re 0.500 0.500 0.000
Hg 0.000 0.000 0.500
H 0.000 0.500 0.500
H 0.500 0.000 0.500

=====

Record 3
! PmScTlPb | the Alexandria database | PBE-GGA | optimized geometry; values from VASP
! - Calculated volume: 27.080 Å³ per atom
! - SG: No. 216
! - E_form: -0.318 eV per atom
&SYSTEM
  ibrav = 0, nat = 4, ntyp = 4
/
ATOMIC_SPECIES
Pm 145.00 Pm.upf
Sc 44.96 Sc.upf
Tl 204.38 Tl.upf
Pb 207.20 Pb.upf
CELL_PARAMETERS angstrom
0.000 3.783 3.783
3.783 0.000 3.783
3.783 3.783 0.000
ATOMIC_POSITIONS crystal
Pm 0.000 0.000 0.000
Sc 0.500 0.500 0.500
Tl 0.250 0.250 0.250
Pb 0.750 0.750 0.750

=====

Record 4
! Dy2ScCd5 | the Alexandria database | PBE-GGA | optimized geometry; values from VASP
! - Calculated volume: 23.647 Å³ per atom
! - SG: No. 139
! - E_form: -0.271 eV per atom
&SYSTEM
  ibrav = 0, nat = 8, ntyp = 3
/
ATOMIC_SPECIES
Dy 162.50 Dy.upf
Sc 44.96 Sc.upf
Cd 112.41 Cd.upf
CELL_PARAMETERS angstrom
-2.516 2.516 7.469
2.516 -2.516 7.469
2.516 2.516 -7.469
ATOMIC_POSITIONS crystal
Dy 0.241 0.241 0.000
Dy 0.759 0.759 0.000
Sc 0.500 0.500 0.000
Cd 0.000 0.000 0.000
Cd 0.115 0.615 0.500
Cd 0.385 0.885 0.500
Cd 0.615 0.115 0.500
Cd 0.885 0.385 0.500

=====

Record 5
! AsHRhSe2 | the Alexandria database | PBE-GGA | optimized geometry; values from VASP
! - Calculated volume: 15.134 Å³ per atom
! - Uncorrected energy: -3.89 eV/atom
! - SG: No. 123
&SYSTEM
  ibrav = 0, nat = 5, ntyp = 4
/
ATOMIC_SPECIES
As 74.92 As.upf
H 1.01 H.upf
Rh 102.91 Rh.upf
Se 78.96 Se.upf
CELL_PARAMETERS angstrom
4.624 0.000 0.000
0.000 4.624 0.000
0.000 0.000 3.539
ATOMIC_POSITIONS crystal
As 0.000 0.000 0.000
H 0.000 0.000 0.500
Rh 0.500 0.500 0.000
Se 0.000 0.500 0.500
Se 0.500 0.000 0.500

=====

Record 6
! Nd3MgGa2 | the Alexandria database | PBE-GGA | optimized geometry; values from VASP
! - Calculated volume: 26.432 Å³ per atom
! - SG: No. 164
! - E_form: -0.413 eV per atom
&SYSTEM
  ibrav = 0, nat = 12, ntyp = 3
/
ATOMIC_SPECIES
Nd 144.24 Nd.upf
Mg 24.30 Mg.upf
Ga 69.72 Ga.upf
CELL_PARAMETERS angstrom
5.305 0.000 0.000
-2.652 4.594 0.000
0.000 0.000 13.016
ATOMIC_POSITIONS crystal
Nd 0.000 0.000 0.238
Nd 0.000 0.000 0.762
Nd 0.333 0.667 0.418
Nd 0.333 0.667 0.927
Nd 0.667 0.333 0.073
Nd 0.667 0.333 0.582
Mg 0.333 0.667 0.672
Mg 0.667 0.333 0.328
Ga 0.000 0.000 0.000
Ga 0.000 0.000 0.500
Ga 0.333 0.667 0.178
Ga 0.667 0.333 0.822

=====

Record 7
! Ce4Mg3Zn4 | the Alexandria database | PBE-GGA | optimized geometry; values from VASP
! - Calculated volume: 22.295 Å³ per atom
! - SG: No. 71
! - E_form: -0.045 eV per atom
&SYSTEM
  ibrav = 0, nat = 11, ntyp = 3
/
ATOMIC_SPECIES
Ce 140.12 Ce.upf
Mg 24.30 Mg.upf
Zn 65.41 Zn.upf
CELL_PARAMETERS angstrom
-1.500 4.351 9.392
1.500 -4.351 9.392
1.500 4.351 -9.392
ATOMIC_POSITIONS crystal
Ce 0.003 0.159 0.844
Ce 0.314 0.159 0.156
Ce 0.686 0.841 0.844
Ce 0.997 0.841 0.156
Mg 0.000 0.500 0.500
Mg 0.412 0.412 0.000
Mg 0.588 0.588 0.000
Zn 0.285 0.000 0.285
Zn 0.285 0.785 0.500
Zn 0.715 0.000 0.715
Zn 0.715 0.215 0.500

=====

Record 8
! RbHg3Pd | the Alexandria database | PBE-GGA | optimized geometry; values from VASP
! - Calculated volume: 31.685 Å³ per atom
! - SG: No. 221
! - E_form: -0.256 eV per atom
&SYSTEM
  ibrav = 0, nat = 5, ntyp = 3
/
ATOMIC_SPECIES
Rb 85.47 Rb.upf
Hg 200.59 Hg.upf
Pd 106.42 Pd.upf
CELL_PARAMETERS angstrom
5.411 0.000 0.000
0.000 5.411 0.000
0.000 0.000 5.411
ATOMIC_POSITIONS crystal
Rb 0.000 0.000 0.000
Hg 0.000 0.500 0.500
Hg 0.500 0.000 0.500
Hg 0.500 0.500 0.000
Pd 0.500 0.500 0.500